# 1
Na2NbPd2 (GGA-PBE, optimized geometry); crystal system = tetragonal; offset from the most stable computed form = 0 meV/atom
1.0
-2.252 -4.431 6.178
-3.072 -5.363 -4.966
2.460 -1.346 -0.069
Na Pd Nb
4 4 2
Direct
0.891 0.609 0.000
0.391 0.891 0.000
0.109 0.391 0.000
0.609 0.109 0.000
0.307 0.193 0.500
0.807 0.307 0.500
0.693 0.807 0.500
0.193 0.693 0.500
0.500 0.500 0.000
0.000 0.000 0.000

***

# 2
SrMnTl (GGA-PBE, optimized geometry); crystal system = trigonal
1.0
3.944 0.000 0.000
-1.972 3.416 0.000
0.000 0.000 6.925
Sr Mn Tl
1 1 1
Direct
0.667 0.333 0.326
0.000 0.000 0.962
0.333 0.667 0.712

***

# 3
Cs2CdIn (GGA-PBE, optimized geometry); crystal system = monoclinic
1.0
-4.244 -2.897 0.887
-0.640 -1.606 7.249
-4.777 3.597 4.447
Cs Cd In
2 1 1
Direct
0.432 0.477 0.657
0.068 0.843 0.023
0.750 0.013 0.487
0.250 0.167 0.333

***

It is found that the energy of formation from the pure elements values, taken in the order of the records, are 1.52, 1.32, -0.08 eV per formula unit.
It is found that the N(E_F) values, taken in the order of the records, are 4.64, 3.41, 3.63 states/eV/f.u..